! Be3RuBr, relaxed, DFT GGA-PBEsol; values from VASP
! - Total magnetic moment: 0.244 Bohr magnetons per cell
! - E_form (uncorrected): 1600 meV per atom
! - Symmetry: No. 221
&SYSTEM
  ibrav = 0, nat = 5, ntyp = 3
/
ATOMIC_SPECIES
Ru 101.07 Ru.upf
Br 79.90 Br.upf
Be 9.01 Be.upf
ATOMIC_POSITIONS crystal
Ru 0.500 0.500 0.500
Br 0.000 0.000 0.000
Be 0.000 0.500 0.000
Be 0.000 0.000 0.500
Be 0.500 0.000 0.000
CELL_PARAMETERS angstrom
-3.654 -0.509 1.858
0.265 -4.079 -0.595
1.908 -0.407 3.641



! BeRuBr3, relaxed, DFT GGA-PBEsol; values from VASP
! - Total magnetic moment: 0.785 Bohr magnetons per cell
! - E_form (uncorrected): 648 meV per atom
! - Symmetry: No. 221
&SYSTEM
  ibrav = 0, nat = 5, ntyp = 3
/
ATOMIC_SPECIES
Ru 101.07 Ru.upf
Br 79.90 Br.upf
Be 9.01 Be.upf
ATOMIC_POSITIONS crystal
Ru 0.000 0.000 0.000
Br 0.000 0.500 0.000
Br 0.000 0.000 0.500
Br 0.500 0.000 0.000
Be 0.500 0.500 0.500
CELL_PARAMETERS angstrom
-1.173 3.587 3.181
-1.360 -3.389 3.320
4.598 -0.088 1.794



! BeSnRuBr2, relaxed, DFT GGA-PBEsol; values from VASP
! - Total magnetic moment: 0.701 Bohr magnetons per cell
! - E_form (uncorrected): 766 meV per atom
! - Symmetry: No. 123
&SYSTEM
  ibrav = 0, nat = 5, ntyp = 4
/
ATOMIC_SPECIES
Ru 101.07 Ru.upf
Sn 118.71 Sn.upf
Br 79.90 Br.upf
Be 9.01 Be.upf
ATOMIC_POSITIONS crystal
Ru 0.000 0.000 0.000
Sn 0.000 0.000 0.500
Br 0.000 0.500 0.000
Br 0.500 0.000 0.000
Be 0.500 0.500 0.500
CELL_PARAMETERS angstrom
4.959 0.000 0.000
0.000 4.959 0.000
0.000 0.000 5.156



! Be2SeSBr, relaxed, DFT GGA-PBEsol; values from VASP
! - Total magnetic moment: 0.002 Bohr magnetons per cell
! - E_form (uncorrected): 692 meV per atom
! - Symmetry: No. 123
&SYSTEM
  ibrav = 0, nat = 5, ntyp = 4
/
ATOMIC_SPECIES
Be 9.01 Be.upf
S 32.06 S.upf
Se 78.96 Se.upf
Br 79.90 Br.upf
ATOMIC_POSITIONS crystal
Be 0.000 0.500 0.000
Be 0.500 0.000 0.000
S 0.000 0.000 0.000
Se 0.000 0.000 0.500
Br 0.500 0.500 0.500
CELL_PARAMETERS angstrom
4.345 0.000 0.000
0.000 4.345 0.000
0.000 0.000 4.953



! BeSbBr, relaxed, DFT GGA-PBEsol; values from VASP
! - Total magnetic moment: 0.000 Bohr magnetons per cell
! - E_form (uncorrected): 818 meV per atom
! - Symmetry: No. 216
! - ΔE to the lowest computed polymorph: 0.765 eV per atom
&SYSTEM
  ibrav = 0, nat = 3, ntyp = 3
/
ATOMIC_SPECIES
Sb 121.76 Sb.upf
Br 79.90 Br.upf
Be 9.01 Be.upf
ATOMIC_POSITIONS crystal
Sb 0.250 0.250 0.250
Br 0.500 0.500 0.500
Be 0.000 0.000 0.000
CELL_PARAMETERS angstrom
-4.541 0.734 -1.312
-2.802 -3.717 -1.098
-3.568 -1.253 2.929



! BeSbBr, relaxed, DFT GGA-PBEsol; values from VASP
! - Total magnetic moment: 0.000 Bohr magnetons per cell
! - E_form (uncorrected): 53 meV per atom
! - Symmetry: No. 44
! - ΔE to the lowest computed polymorph: 0.000 eV per atom
&SYSTEM
  ibrav = 0, nat = 3, ntyp = 3
/
ATOMIC_SPECIES
Sb 121.76 Sb.upf
Br 79.90 Br.upf
Be 9.01 Be.upf
ATOMIC_POSITIONS crystal
Sb 0.555 0.555 0.109
Br 0.290 0.290 0.579
Be 0.156 0.156 0.311
CELL_PARAMETERS angstrom
3.141 0.000 0.000
0.000 3.329 0.000
-1.571 -1.664 7.497